Density functional theory data (PBE) for a relaxed Rb2TbZnF6 crystal.

a = 6.495 Å, b = 6.488 Å, c = 9.180 Å
α = 90.00°, β = 90.00°, γ = 90.00°
Atoms (fractional coordinates):
Zn: 0.000 0.751 0.000
Zn: 0.500 0.249 0.500
F: 0.740 0.011 0.000
F: 0.000 0.751 0.261
F: 0.760 0.989 0.500
F: 0.500 0.249 0.761
F: 0.238 0.510 0.500
F: 0.762 0.510 0.500
F: 0.260 0.011 0.000
F: 0.240 0.989 0.500
F: 0.000 0.751 0.739
F: 0.738 0.490 0.000
F: 0.500 0.249 0.239
F: 0.262 0.490 0.000
Rb: 0.500 0.750 0.250
Rb: 0.000 0.250 0.250
Rb: 0.000 0.250 0.750
Rb: 0.500 0.750 0.750
Tb: 0.500 0.250 0.000
Tb: 0.000 0.750 0.500

Calculated values
**Volume**: 19.3 A^3/atom
**Symmetry**: No. 59
**Final energy**: -96.66 eV for the cell shown
**Energy relative to the elements, uncorrected**: -29.3 eV per formula unit